MgTl2Fe (PBEsol, relaxed); volume = 20.46 Å³/atom; energy of formation from the pure elements = 0.377 eV/atom
1.0
4.635 -1.619 0.000
4.635 1.619 0.000
-1.278 0.000 5.455
Mg Tl Fe
1 2 1
direct
0.000 0.000 0.000 Mg
0.239 0.239 0.731 Tl
0.761 0.761 0.269 Tl
0.500 0.500 0.500 Fe